# NdTaNb PBE optimized geometry
data_NdTaNb
_chemical_formula_sum 'Nd4 Ta4 Nb4'
_cell_length_a 6.680
_cell_length_b 6.680
_cell_length_c 6.680
_cell_angle_alpha 90.00
_cell_angle_beta 90.00
_cell_angle_gamma 90.00
_space_group_name_H-M_alt 'F -4 3 m'
_space_group_IT_number 216
_space_group_name_Hall 'F -4 2 3'
loop_
_atom_site_label
_atom_site_fract_x
_atom_site_fract_y
_atom_site_fract_z
_atom_site_occupancy
Nd1 0.000 0.000 0.000 1
Ta1 0.250 0.250 0.250 1
Nb1 0.250 0.250 0.750 1
# uncorrected energy: -7.21 eV per atom
# offset from the most stable computed form: 758.3 meV/atom
# total magnetic moment: 0.002 μB per formula unit